No. 1
KPuH2Br8, optimized geometry, DFT GGA-PBE; total energy = -46.41 eV per cell; symmetry = P-1 (2)
1.0
-5.054 -0.575 5.344
-2.206 -3.610 -6.937
6.007 -5.146 5.064
K Pu H Br
1 1 2 8
Cartesian
3.003 -2.573 2.532 K
0.000 0.000 0.000 Pu
0.471 -5.583 3.433 H
-1.724 -3.748 0.039 H
-1.444 -3.659 -4.345 Br
0.888 -7.784 2.880 Br
-3.577 -2.779 4.857 Br
0.191 -5.672 7.817 Br
-2.141 -1.547 0.592 Br
2.324 -6.551 -1.385 Br
-1.473 -5.163 -0.256 Br
0.220 -4.167 3.728 Br

---

No. 2
VTeIrOs2, optimized geometry, DFT GGA-PBE; total energy = -31.49 eV per cell; symmetry = P4/mmm (123); ΔE_f (raw) = 2418 meV per atom
1.0
4.723 0.000 0.000
0.000 4.654 0.000
0.000 0.000 4.723
Te Ir Os V
1 1 2 1
Cartesian
0.000 0.000 0.000 Te
2.361 2.327 2.361 Ir
0.000 0.000 2.361 Os
2.361 0.000 0.000 Os
0.000 2.327 0.000 V

---

No. 3
AgBi4Pd, optimized geometry, DFT GGA-PBE; total energy = -47.51 eV per cell; symmetry = C2/c (15); E_form = -31 meV per atom
1.0
5.807 -0.208 0.000
-1.717 8.176 0.000
-2.045 -3.984 6.870
Ag Bi Pd
2 8 2
Cartesian
0.593 4.036 1.811 Ag
1.452 -0.052 5.059 Ag
-1.799 -1.643 5.970 Bi
2.124 3.011 4.331 Bi
-1.105 1.747 5.970 Bi
-0.938 5.061 4.331 Bi
2.983 -1.077 2.539 Bi
3.150 2.238 0.900 Bi
-0.079 0.973 2.539 Bi
3.844 5.627 0.900 Bi
1.452 -0.052 0.343 Pd
0.593 4.036 6.527 Pd

---

No. 4
Dy2TmZn12Cu3, optimized geometry, DFT GGA-PBE; total energy = -41.48 eV per cell; symmetry = R-3m (166); E_form = -13 meV per atom
1.0
9.648 1.866 1.324
6.387 7.468 1.324
6.387 3.718 6.610
Dy Tm Zn Cu
2 1 12 3
Cartesian
14.417 8.392 5.952 Dy
8.006 4.660 3.305 Dy
0.000 0.000 0.000 Tm
9.733 5.665 5.599 Zn
16.981 9.885 5.393 Zn
15.653 10.639 7.546 Zn
11.030 4.929 3.496 Zn
16.981 8.357 7.546 Zn
9.733 7.157 3.496 Zn
12.690 7.387 3.659 Zn
5.442 3.167 3.865 Zn
6.769 2.413 1.712 Zn
11.393 8.123 5.762 Zn
5.442 4.695 1.712 Zn
12.690 5.895 5.762 Zn
4.824 0.933 0.662 Cu
3.194 3.734 0.662 Cu
3.194 1.859 3.305 Cu

---

No. 5
LaGeIrPt, optimized geometry, DFT GGA-PBE; total energy = -27.13 eV per cell; symmetry = Imm2 (44); E_form = -671 meV per atom
1.0
4.027 0.000 0.000
0.000 4.300 0.000
-2.013 -2.150 5.166
La Ge Ir Pt
1 1 1 1
Cartesian
2.013 2.150 4.890 La
0.000 2.150 2.262 Ge
2.013 2.150 0.912 Ir
0.000 0.000 3.459 Pt

---

No. 6
Ce2HoSc8, optimized geometry, DFT GGA-PBE; total energy = -64.90 eV per cell; symmetry = C2/m (12); E_form = 200 meV per atom
1.0
-2.388 3.730 -3.222
-8.215 -0.289 -2.021
-5.733 4.009 5.004
Ce Ho Sc
2 1 8
Cartesian
-4.745 1.486 1.350 Ce
-9.202 2.234 1.633 Ce
-1.194 1.865 -1.611 Ho
-4.096 3.964 -1.697 Sc
-9.080 6.059 0.536 Sc
-4.250 0.972 -1.820 Sc
-10.093 3.325 -1.099 Sc
-6.243 4.125 0.860 Sc
-6.353 2.469 -3.423 Sc
-7.255 1.391 -0.775 Sc
-12.240 3.486 1.458 Sc

---

No. 7
Tb2Sm3HoAs6, optimized geometry, DFT GGA-PBE; total energy = -74.26 eV per cell; symmetry = C2/m (12); E_form = -1530 meV per atom
1.0
4.172 0.000 0.000
0.000 8.333 0.300
-2.086 -2.398 8.765
Tb Sm Ho As
2 3 1 6
Cartesian
2.086 3.959 6.047 Tb
0.000 1.976 3.018 Tb
2.086 4.166 0.150 Sm
2.086 -0.209 5.891 Sm
0.000 6.144 3.173 Sm
2.086 0.000 0.000 Ho
0.000 6.014 6.147 As
2.086 4.033 3.114 As
2.086 -0.080 2.918 As
0.000 2.042 0.090 As
2.086 3.892 8.975 As
0.000 1.901 5.951 As

---

No. 8
ZrCu5Au8, optimized geometry, DFT GGA-PBE; total energy = -55.36 eV per cell; symmetry = I-4 (82); E_form = -8 meV per atom
1.0
6.799 -0.044 0.075
-2.342 6.383 -0.075
-2.115 -3.249 5.586
Zr Cu Au
1 5 8
Cartesian
-1.058 0.744 4.171 Zr
-0.817 1.821 0.726 Cu
3.293 5.052 1.224 Cu
2.334 1.850 3.862 Cu
2.342 -1.647 2.831 Cu
-0.125 -2.542 5.360 Cu
-0.996 4.512 0.366 Au
4.738 -1.844 3.816 Au
3.796 0.474 2.042 Au
1.509 -0.401 5.064 Au
1.503 3.019 1.332 Au
0.125 3.161 4.818 Au
0.817 0.351 2.172 Au
-2.125 3.088 2.734 Au

---

No. 9
HoPuSe2N, optimized geometry, DFT GGA-PBE; total energy = -84.00 eV per cell; symmetry = P4/nmm (129); ΔE_f (raw) = -1559 meV per atom
1.0
3.921 0.000 0.000
0.000 3.921 0.000
0.000 0.000 14.427
Ho Pu Se N
2 2 4 2
Cartesian
1.961 0.000 1.821 Ho
0.000 1.961 12.606 Ho
1.961 0.000 8.330 Pu
0.000 1.961 6.098 Pu
0.000 1.961 9.930 Se
0.000 1.961 1.284 Se
1.961 0.000 13.143 Se
1.961 0.000 4.497 Se
0.000 0.000 7.214 N
1.961 1.961 7.214 N

---

No. 10
LiHoMgPb, optimized geometry, DFT GGA-PBE; total energy = -12.74 eV per cell; symmetry = F-43m (216); E_form = -237 meV per atom
1.0
-4.133 -0.367 3.096
0.370 -2.484 4.528
-0.156 2.666 4.436
Pb Mg Ho Li
1 1 1 1
Cartesian
-2.940 -0.139 9.045 Pb
-0.980 -0.046 3.015 Mg
-1.960 -0.093 6.030 Ho
0.000 0.000 0.000 Li

---

No. 11
Ba2CuH, optimized geometry, DFT GGA-PBE; total energy = -10.89 eV per cell; ΔE to the lowest computed polymorph = 178 meV/atom; symmetry = Fm-3m (225)
1.0
-1.466 -3.109 4.242
-5.096 -1.931 0.338
-0.954 -5.328 -0.720
H Ba Cu
1 2 1
Cartesian
0.000 0.000 0.000 H
-1.879 -2.592 0.965 Ba
-5.637 -7.776 2.895 Ba
-3.758 -5.184 1.930 Cu

---

No. 12
Ca2MgGa4Au3, optimized geometry, DFT GGA-PBE; total energy = -32.94 eV per cell; symmetry = P-4m2 (115); E_form = -540 meV per atom
1.0
-1.945 -0.411 -3.740
1.762 -3.819 -0.497
-9.210 -4.942 5.332
Ca Mg Ga Au
2 1 4 3
Cartesian
-3.228 -1.415 -0.564 Ca
-6.074 -5.641 3.778 Ca
-4.697 -4.586 0.548 Mg
-0.092 -2.115 -2.118 Ga
0.000 0.000 0.000 Ga
-6.922 -3.398 1.575 Ga
-2.379 -3.659 1.639 Ga
-4.605 -2.471 2.666 Au
-8.913 -4.466 2.727 Au
-0.389 -2.591 0.487 Au

---

No. 13
Cs3GaTe4, optimized geometry, DFT GGA-PBE; total energy = -24.36 eV per cell; symmetry = Imm2 (44); ΔE_f (raw) = -775 meV per atom
1.0
9.268 -1.834 -1.741
-6.161 7.162 1.741
-4.952 -0.682 8.203
Cs Ga Te
3 1 4
Cartesian
-0.303 0.177 7.175 Cs
3.579 -2.087 5.360 Cs
-0.086 3.620 3.209 Cs
-5.358 3.124 5.269 Ga
-6.278 3.661 7.634 Te
-3.149 1.836 4.834 Te
1.933 0.599 1.770 Te
-5.730 5.185 3.511 Te

---

No. 14
Cs2As2Pd3, optimized geometry, DFT GGA-PBE; total energy = -29.36 eV per cell; symmetry = C2/m (12); E_form = -397 meV per atom
1.0
2.048 6.777 -0.316
-2.048 6.777 -0.316
0.000 5.071 6.666
Cs As Pd
2 2 3
Cartesian
0.000 15.778 4.547 Cs
0.000 2.846 1.487 Cs
0.000 12.701 0.937 As
0.000 5.924 5.097 As
0.000 6.777 -0.316 Pd
0.000 12.126 3.561 Pd
0.000 6.499 2.473 Pd

---

No. 15
LaEr5As6, optimized geometry, DFT GGA-PBE; total energy = -73.80 eV per cell; symmetry = C2/m (12); E_form = -1513 meV per atom
1.0
-3.088 5.987 2.431
-3.368 -6.286 0.656
5.073 -0.836 4.985
As Er La
6 5 1
Cartesian
-0.309 1.807 2.369 As
-0.978 1.253 6.309 As
2.122 -0.701 4.511 As
-3.505 -0.435 3.560 As
-0.405 -2.388 1.762 As
-1.073 -2.943 5.702 As
-0.598 3.548 4.631 Er
-3.181 1.904 1.840 Er
-0.691 -0.568 4.036 Er
-3.275 -2.203 1.246 Er
-0.785 -4.683 3.440 Er
0.000 0.000 0.000 La

---

No. 16
MnCrSe, optimized geometry, DFT GGA-PBE; total energy = -87.75 eV per cell; ΔE to the lowest computed polymorph = 92 meV/atom; symmetry = P-3m1 (164); ΔE_f (raw) = 113 meV per atom
1.0
-1.015 2.594 2.340
-2.197 -2.827 -0.647
8.288 -9.733 14.381
Mn Cr Se
4 4 4
Cartesian
-1.081 0.402 1.913 Mn
6.157 -10.368 14.161 Mn
5.063 -9.082 12.261 Mn
0.013 -0.883 3.813 Mn
1.441 -2.560 6.289 Cr
6.011 -7.927 14.220 Cr
-0.935 -2.039 1.854 Cr
3.635 -7.406 9.785 Cr
3.456 -4.927 9.787 Se
1.620 -5.039 6.287 Se
0.210 -3.384 3.841 Se
4.866 -6.582 12.233 Se

---

No. 17
HfTiCl2, optimized geometry, DFT GGA-PBE; total energy = -24.27 eV per cell; ΔE to the lowest computed polymorph = 0 meV/atom; symmetry = R-3m (166); ΔE_f (raw) = -682 meV per atom
1.0
2.231 7.874 3.410
5.012 6.444 3.459
4.025 7.854 0.849
Cl Hf Ti
2 1 1
Cartesian
10.137 19.947 6.945 Cl
1.131 2.225 0.775 Cl
0.000 0.000 0.000 Hf
5.634 11.086 3.860 Ti

---

No. 18
Pr12DyCd6, optimized geometry, DFT GGA-PBE; total energy = -69.53 eV per cell; symmetry = R-3 (148); E_form = -109 meV per atom
1.0
-5.706 5.767 2.147
-3.863 -0.633 -7.423
-5.258 -5.860 2.907
Pr Dy Cd
12 1 6
Cartesian
-8.929 1.802 -0.956 Pr
-8.373 -1.141 -3.531 Pr
-8.945 -1.945 0.293 Pr
-5.898 -2.528 -1.413 Pr
-6.454 0.416 1.162 Pr
-5.882 1.220 -2.663 Pr
-2.887 -2.101 0.075 Pr
-12.215 -1.105 0.036 Pr
-11.635 -2.021 -3.311 Pr
-11.940 1.375 -2.444 Pr
-2.612 0.380 -2.405 Pr
-3.191 1.296 0.942 Pr
0.000 0.000 0.000 Dy
-8.995 2.194 -4.245 Cd
-5.842 3.453 -0.011 Cd
-4.888 -1.344 -4.512 Cd
-5.832 -2.920 1.876 Cd
-8.984 -4.179 -2.358 Cd
-9.938 0.618 2.142 Cd

---

No. 19
CaCdSi2, optimized geometry, DFT GGA-PBE; total energy = -13.35 eV per cell; symmetry = I4/mmm (139); ΔE_f (raw) = 104 meV per atom
1.0
-2.307 -4.148 -2.543
2.722 -1.211 -4.485
1.547 0.728 5.106
Ca Cd Si
1 1 2
Cartesian
2.238 -1.581 -1.447 Ca
-0.276 -3.050 -0.475 Cd
0.000 0.000 0.000 Si
0.208 -2.680 -3.514 Si

---

No. 20
PuAsPd2, optimized geometry, DFT GGA-PBE; total energy = -63.27 eV per cell; symmetry = P4/nmm (129); E_form = -567 meV per atom
1.0
-1.102 0.826 3.711
2.016 -3.149 1.300
8.023 5.606 1.136
Pu As Pd
2 2 4
Cartesian
1.265 1.682 2.113 Pu
7.215 2.762 1.528 Pu
4.831 4.173 2.617 As
3.649 0.271 1.024 As
6.936 5.644 2.915 Pd
1.544 -1.200 0.726 Pd
4.012 2.803 0.568 Pd
4.469 1.641 3.073 Pd